Computed, not measured: a relaxed structure of KCd9Ag3 at the GGA-PBE level of DFT.

energy relative to the elements = -0.060 eV per atom

```
data_KCd9Ag3
_symmetry_space_group_name_H-M 'C 1 2/m 1'
_symmetry_Int_Tables_number 12
_cell_length_a 5.7200
_cell_length_b 14.2027
_cell_length_c 7.8017
_cell_angle_alpha 90.00
_cell_angle_beta 111.02
_cell_angle_gamma 90.00
loop_
_symmetry_equiv_pos_as_xyz
'x,y,z'
'-x,-y,-z'
'-x,y,-z'
'x,-y,z'
'x+1/2,y+1/2,z'
'-x+1/2,-y+1/2,-z'
'-x+1/2,y+1/2,-z'
'x+1/2,-y+1/2,z'
loop_
_atom_site_label
_atom_site_type_symbol
_atom_site_fract_x
_atom_site_fract_y
_atom_site_fract_z
_atom_site_occupancy
K1 K 0.0000 0.0000 0.0000 1
Cd1 Cd 0.0000 0.0000 0.5000 1
Cd2 Cd 0.1029 0.3914 0.2127 1
Cd3 Cd 0.1776 0.1777 0.3438 1
Ag1 Ag 0.0000 0.5000 0.5000 1
Ag2 Ag 0.2500 0.2500 0.0000 1
```

=====

Computed, not measured: a relaxed structure of KCd5Ag2 at the GGA-PBE level of DFT.

energy relative to the elements = -0.040 eV per atom

```
data_KCd5Ag2
_symmetry_space_group_name_H-M 'I m m m'
_symmetry_Int_Tables_number 71
_symmetry_space_group_name_Hall '-I 2 2'
_cell_length_a 4.4920
_cell_length_b 8.4288
_cell_length_c 10.8589
_cell_angle_alpha 90.00
_cell_angle_beta 90.00
_cell_angle_gamma 90.00
loop_
_atom_site_label
_atom_site_type_symbol
_atom_site_fract_x
_atom_site_fract_y
_atom_site_fract_z
_atom_site_occupancy
K1 K 0.0000 0.0000 0.0000 1
Cd1 Cd 0.0000 0.1866 0.3488 1
Cd2 Cd 0.0000 0.5000 0.0000 1
Ag1 Ag 0.0000 0.5000 0.2577 1
```

=====

Computed, not measured: a relaxed structure of KCd10Ag3 at the GGA-PBE level of DFT.

energy relative to the elements = 0.062 eV per atom

```
data_KCd10Ag3
_symmetry_space_group_name_H-M 'F m -3 m'
_symmetry_Int_Tables_number 225
_symmetry_space_group_name_Hall '-F 4 2 3'
_cell_length_a 14.2856
_cell_length_b 14.2856
_cell_length_c 14.2856
_cell_angle_alpha 90.00
_cell_angle_beta 90.00
_cell_angle_gamma 90.00
loop_
_atom_site_label
_atom_site_type_symbol
_atom_site_fract_x
_atom_site_fract_y
_atom_site_fract_z
_atom_site_occupancy
K1 K 0.2500 0.2500 0.2500 1
Cd1 Cd 0.0000 0.1736 0.1736 1
Cd2 Cd 0.1132 0.1132 0.3868 1
Ag1 Ag 0.0000 0.0000 0.2641 1
```

=====

Computed, not measured: a relaxed structure of K2LiCd5Ag2 at the GGA-PBE level of DFT.

energy relative to the elements = -0.068 eV per atom

```
data_K2LiCd5Ag2
_symmetry_space_group_name_H-M 'P 4/m b m'
_symmetry_Int_Tables_number 127
_symmetry_space_group_name_Hall '-P 4 2ab'
_cell_length_a 12.4461
_cell_length_b 12.4461
_cell_length_c 3.2156
_cell_angle_alpha 90.00
_cell_angle_beta 90.00
_cell_angle_gamma 90.00
loop_
_atom_site_label
_atom_site_type_symbol
_atom_site_fract_x
_atom_site_fract_y
_atom_site_fract_z
_atom_site_occupancy
K1 K 0.1769 0.3231 0.0000 1
Li1 Li 0.0000 0.0000 0.0000 1
Cd1 Cd 0.0000 0.5000 0.5000 1
Cd2 Cd 0.0564 0.8186 0.5000 1
Ag1 Ag 0.1341 0.6341 0.0000 1
```

=====

Computed, not measured: a relaxed structure of K2LiCd12Ag3 at the GGA-PBE level of DFT.

energy relative to the elements = 0.146 eV per atom

```
data_K2LiCd12Ag3
_symmetry_space_group_name_H-M 'R -3 m'
_symmetry_Int_Tables_number 166
_symmetry_space_group_name_Hall '-R 3 2"'
_cell_length_a 10.1201
_cell_length_b 10.1201
_cell_length_c 18.8749
_cell_angle_alpha 90.00
_cell_angle_beta 90.00
_cell_angle_gamma 120.00
loop_
_atom_site_label
_atom_site_type_symbol
_atom_site_fract_x
_atom_site_fract_y
_atom_site_fract_z
_atom_site_occupancy
K1 K 0.0000 0.0000 0.1103 1
Li1 Li 0.0000 0.0000 0.5000 1
Cd1 Cd 0.0103 0.5051 0.1448 1
Cd2 Cd 0.0239 0.5120 0.3136 1
Ag1 Ag 0.0000 0.5000 0.0000 1
```

=====

Computed, not measured: a relaxed structure of KLiCd6Ag at the GGA-PBE level of DFT.

energy relative to the elements = 0.117 eV per atom

```
data_KLiCd6Ag
_symmetry_space_group_name_H-M 'I m m a'
_symmetry_Int_Tables_number 74
_symmetry_space_group_name_Hall '-I 2b 2'
_cell_length_a 7.5061
_cell_length_b 9.5174
_cell_length_c 15.2618
_cell_angle_alpha 90.00
_cell_angle_beta 90.00
_cell_angle_gamma 90.00
loop_
_atom_site_label
_atom_site_type_symbol
_atom_site_fract_x
_atom_site_fract_y
_atom_site_fract_z
_atom_site_occupancy
K1 K 0.0000 0.2500 0.1021 1
Li1 Li 0.2500 0.2500 0.7500 1
Cd1 Cd 0.0000 0.2500 0.3896 1
Cd2 Cd 0.0000 0.2500 0.8768 1
Cd3 Cd 0.2074 0.0187 0.6536 1
Ag1 Ag 0.0000 0.0000 0.5000 1
```

=====

Computed, not measured: a relaxed structure of KMg2CdAg at the GGA-PBE level of DFT.

energy relative to the elements = 0.050 eV per atom

```
data_KMg2CdAg
_symmetry_space_group_name_H-M 'P 4/m m m'
_symmetry_Int_Tables_number 123
_symmetry_space_group_name_Hall '-P 4 2'
_cell_length_a 5.2870
_cell_length_b 5.2870
_cell_length_c 5.4204
_cell_angle_alpha 90.00
_cell_angle_beta 90.00
_cell_angle_gamma 90.00
loop_
_atom_site_label
_atom_site_type_symbol
_atom_site_fract_x
_atom_site_fract_y
_atom_site_fract_z
_atom_site_occupancy
K1 K 0.0000 0.0000 0.0000 1
Mg1 Mg 0.0000 0.5000 0.5000 1
Cd1 Cd 0.5000 0.5000 0.0000 1
Ag1 Ag 0.5000 0.5000 0.5000 1
```

=====

Computed, not measured: a relaxed structure of K2MgCd12Ag3 at the GGA-PBE level of DFT.

energy relative to the elements = 0.153 eV per atom

```
data_K2MgCd12Ag3
_symmetry_space_group_name_H-M 'R -3 m'
_symmetry_Int_Tables_number 166
_symmetry_space_group_name_Hall '-R 3 2"'
_cell_length_a 9.7865
_cell_length_b 9.7865
_cell_length_c 20.5350
_cell_angle_alpha 90.00
_cell_angle_beta 90.00
_cell_angle_gamma 120.00
loop_
_atom_site_label
_atom_site_type_symbol
_atom_site_fract_x
_atom_site_fract_y
_atom_site_fract_z
_atom_site_occupancy
K1 K 0.0000 0.0000 0.0910 1
Mg1 Mg 0.0000 0.0000 0.5000 1
Cd1 Cd 0.0043 0.5021 0.1393 1
Cd2 Cd 0.1070 0.5535 0.3960 1
Ag1 Ag 0.0000 0.5000 0.0000 1
```

=====

Computed, not measured: a relaxed structure of K2NaCd3Ag4 at the GGA-PBE level of DFT.

energy relative to the elements = -0.016 eV per atom

```
data_K2NaCd3Ag4
_symmetry_space_group_name_H-M 'P -4 m 2'
_symmetry_Int_Tables_number 115
_cell_length_a 4.9099
_cell_length_b 4.9099
_cell_length_c 11.6438
_cell_angle_alpha 90.00
_cell_angle_beta 90.00
_cell_angle_gamma 90.00
loop_
_symmetry_equiv_pos_as_xyz
'x,y,z'
'y,-x,-z'
'-x,-y,z'
'-y,x,-z'
'-x,y,z'
'-y,-x,-z'
'x,-y,z'
'y,x,-z'
loop_
_atom_site_label
_atom_site_type_symbol
_atom_site_fract_x
_atom_site_fract_y
_atom_site_fract_z
_atom_site_occupancy
K1 K 0.0000 0.5000 0.2351 1
Na1 Na 0.0000 0.0000 0.5000 1
Cd1 Cd 0.0000 0.5000 0.8793 1
Cd2 Cd 0.5000 0.5000 0.5000 1
Ag1 Ag 0.0000 0.0000 0.0000 1
Ag2 Ag 0.0000 0.5000 0.6393 1
Ag3 Ag 0.5000 0.5000 0.0000 1
```

=====

Computed, not measured: a relaxed structure of K2Na2Cd5Ag2 at the GGA-PBE level of DFT.

energy relative to the elements = 0.022 eV per atom

```
data_K2Na2Cd5Ag2
_symmetry_space_group_name_H-M 'I 4/m m m'
_symmetry_Int_Tables_number 139
_symmetry_space_group_name_Hall '-I 4 2'
_cell_length_a 4.4077
_cell_length_b 4.4077
_cell_length_c 36.6469
_cell_angle_alpha 90.00
_cell_angle_beta 90.00
_cell_angle_gamma 90.00
loop_
_atom_site_label
_atom_site_type_symbol
_atom_site_fract_x
_atom_site_fract_y
_atom_site_fract_z
_atom_site_occupancy
K1 K 0.0000 0.0000 0.2025 1
Na1 Na 0.0000 0.0000 0.3742 1
Cd1 Cd 0.0000 0.0000 0.0000 1
Cd2 Cd 0.0000 0.5000 0.0556 1
Ag1 Ag 0.0000 0.0000 0.1084 1
```

=====

Computed, not measured: a relaxed structure of K2NaCd12Ag3 at the GGA-PBE level of DFT.

energy relative to the elements = 0.153 eV per atom

```
data_K2NaCd12Ag3
_symmetry_space_group_name_H-M 'R -3 m'
_symmetry_Int_Tables_number 166
_symmetry_space_group_name_Hall '-R 3 2"'
_cell_length_a 10.1839
_cell_length_b 10.1839
_cell_length_c 18.9429
_cell_angle_alpha 90.00
_cell_angle_beta 90.00
_cell_angle_gamma 120.00
loop_
_atom_site_label
_atom_site_type_symbol
_atom_site_fract_x
_atom_site_fract_y
_atom_site_fract_z
_atom_site_occupancy
K1 K 0.0000 0.0000 0.1009 1
Na1 Na 0.0000 0.0000 0.5000 1
Cd1 Cd 0.0059 0.5029 0.8548 1
Cd2 Cd 0.0300 0.5150 0.3118 1
Ag1 Ag 0.0000 0.5000 0.0000 1
```

=====

Computed, not measured: a relaxed structure of KCd2NiAg at the GGA-PBE level of DFT.

energy relative to the elements = 0.094 eV per atom

```
data_KCd2NiAg
_symmetry_space_group_name_H-M 'P 4/m m m'
_symmetry_Int_Tables_number 123
_symmetry_space_group_name_Hall '-P 4 2'
_cell_length_a 5.0646
_cell_length_b 5.0646
_cell_length_c 5.1253
_cell_angle_alpha 90.00
_cell_angle_beta 90.00
_cell_angle_gamma 90.00
loop_
_atom_site_label
_atom_site_type_symbol
_atom_site_fract_x
_atom_site_fract_y
_atom_site_fract_z
_atom_site_occupancy
K1 K 0.0000 0.0000 0.0000 1
Cd1 Cd 0.0000 0.5000 0.5000 1
Ni1 Ni 0.5000 0.5000 0.5000 1
Ag1 Ag 0.5000 0.5000 0.0000 1
```

=====

Computed, not measured: a relaxed structure of KCdAgO2 at the GGA-PBE level of DFT.

formation energy from raw total energies = -0.785 eV per atom

```
data_KCdAgO2
_symmetry_space_group_name_H-M 'C m m e'
_symmetry_Int_Tables_number 67
_symmetry_space_group_name_Hall '-C 2a 2'
_cell_length_a 6.3943
_cell_length_b 12.6466
_cell_length_c 5.1347
_cell_angle_alpha 90.00
_cell_angle_beta 90.00
_cell_angle_gamma 90.00
loop_
_atom_site_label
_atom_site_type_symbol
_atom_site_fract_x
_atom_site_fract_y
_atom_site_fract_z
_atom_site_occupancy
K1 K 0.0000 0.2500 0.2054 1
Cd1 Cd 0.2500 0.0000 0.0000 1
Ag1 Ag 0.0000 0.0000 0.5000 1
O1 O 0.0000 0.1048 0.8172 1
```

=====

Computed, not measured: a relaxed structure of KCd2AgP at the GGA-PBE level of DFT.

energy relative to the elements = 0.209 eV per atom

```
data_KCd2AgP
_symmetry_space_group_name_H-M 'P 4/m m m'
_symmetry_Int_Tables_number 123
_symmetry_space_group_name_Hall '-P 4 2'
_cell_length_a 5.3447
_cell_length_b 5.3447
_cell_length_c 5.0467
_cell_angle_alpha 90.00
_cell_angle_beta 90.00
_cell_angle_gamma 90.00
loop_
_atom_site_label
_atom_site_type_symbol
_atom_site_fract_x
_atom_site_fract_y
_atom_site_fract_z
_atom_site_occupancy
K1 K 0.0000 0.0000 0.0000 1
Cd1 Cd 0.0000 0.5000 0.5000 1
Ag1 Ag 0.5000 0.5000 0.5000 1
P1 P 0.5000 0.5000 0.0000 1
```

=====

Computed, not measured: a relaxed structure of K2CdAgP at the GGA-PBE level of DFT.

relative energy among the computed polymorphs = 451 meV/atom
energy relative to the elements = 0.392 eV per atom

```
data_K2CdAgP
_symmetry_space_group_name_H-M 'P 4/m m m'
_symmetry_Int_Tables_number 123
_symmetry_space_group_name_Hall '-P 4 2'
_cell_length_a 6.0933
_cell_length_b 6.0933
_cell_length_c 5.2702
_cell_angle_alpha 90.00
_cell_angle_beta 90.00
_cell_angle_gamma 90.00
loop_
_atom_site_label
_atom_site_type_symbol
_atom_site_fract_x
_atom_site_fract_y
_atom_site_fract_z
_atom_site_occupancy
K1 K 0.0000 0.5000 0.0000 1
Cd1 Cd 0.0000 0.0000 0.5000 1
Ag1 Ag 0.0000 0.0000 0.0000 1
P1 P 0.5000 0.5000 0.5000 1
```

=====

Computed, not measured: a relaxed structure of K2CdAgP at the GGA-PBE level of DFT.

relative energy among the computed polymorphs = 0 meV/atom
energy relative to the elements = -0.060 eV per atom

```
data_K2CdAgP
_symmetry_space_group_name_H-M 'P 4/m m m'
_symmetry_Int_Tables_number 123
_symmetry_space_group_name_Hall '-P 4 2'
_cell_length_a 6.3500
_cell_length_b 6.3500
_cell_length_c 4.7007
_cell_angle_alpha 90.00
_cell_angle_beta 90.00
_cell_angle_gamma 90.00
loop_
_atom_site_label
_atom_site_type_symbol
_atom_site_fract_x
_atom_site_fract_y
_atom_site_fract_z
_atom_site_occupancy
K1 K 0.0000 0.5000 0.0000 1
Cd1 Cd 0.0000 0.0000 0.5000 1
Ag1 Ag 0.5000 0.5000 0.5000 1
P1 P 0.5000 0.5000 0.0000 1
```

=====

Computed, not measured: a relaxed structure of KCdAg2P at the GGA-PBE level of DFT.

energy relative to the elements = 0.116 eV per atom

```
data_KCdAg2P
_symmetry_space_group_name_H-M 'P 4/m m m'
_symmetry_Int_Tables_number 123
_symmetry_space_group_name_Hall '-P 4 2'
_cell_length_a 4.8727
_cell_length_b 4.8727
_cell_length_c 5.7202
_cell_angle_alpha 90.00
_cell_angle_beta 90.00
_cell_angle_gamma 90.00
loop_
_atom_site_label
_atom_site_type_symbol
_atom_site_fract_x
_atom_site_fract_y
_atom_site_fract_z
_atom_site_occupancy
K1 K 0.0000 0.0000 0.0000 1
Cd1 Cd 0.5000 0.5000 0.0000 1
Ag1 Ag 0.0000 0.5000 0.5000 1
P1 P 0.5000 0.5000 0.5000 1
```

=====

Computed, not measured: a relaxed structure of K2Cd12Ag3Pb at the GGA-PBE level of DFT.

energy relative to the elements = 0.055 eV per atom

```
data_K2Cd12Ag3Pb
_symmetry_space_group_name_H-M 'R -3 m'
_symmetry_Int_Tables_number 166
_symmetry_space_group_name_Hall '-R 3 2"'
_cell_length_a 7.3050
_cell_length_b 7.3050
_cell_length_c 33.1087
_cell_angle_alpha 90.00
_cell_angle_beta 90.00
_cell_angle_gamma 120.00
loop_
_atom_site_label
_atom_site_type_symbol
_atom_site_fract_x
_atom_site_fract_y
_atom_site_fract_z
_atom_site_occupancy
K1 K 0.0000 0.0000 0.1439 1
Cd1 Cd 0.0030 0.5015 0.9031 1
Cd2 Cd 0.0706 0.5353 0.6216 1
Ag1 Ag 0.0000 0.5000 0.0000 1
Pb1 Pb 0.0000 0.0000 0.5000 1
```

=====

Computed, not measured: a relaxed structure of K2Cd5Ag2Pd at the GGA-PBE level of DFT.

energy relative to the elements = -0.104 eV per atom

```
data_K2Cd5Ag2Pd
_symmetry_space_group_name_H-M 'P 4/m b m'
_symmetry_Int_Tables_number 127
_symmetry_space_group_name_Hall '-P 4 2ab'
_cell_length_a 12.2757
_cell_length_b 12.2757
_cell_length_c 3.2352
_cell_angle_alpha 90.00
_cell_angle_beta 90.00
_cell_angle_gamma 90.00
loop_
_atom_site_label
_atom_site_type_symbol
_atom_site_fract_x
_atom_site_fract_y
_atom_site_fract_z
_atom_site_occupancy
K1 K 0.1758 0.3242 0.0000 1
Cd1 Cd 0.0000 0.5000 0.5000 1
Cd2 Cd 0.0561 0.8191 0.5000 1
Ag1 Ag 0.1353 0.6353 0.0000 1
Pd1 Pd 0.0000 0.0000 0.0000 1
```

=====

Computed, not measured: a relaxed structure of K2Cd12Ag3Pd at the GGA-PBE level of DFT.

energy relative to the elements = 0.017 eV per atom

```
data_K2Cd12Ag3Pd
_symmetry_space_group_name_H-M 'R -3 m'
_symmetry_Int_Tables_number 166
_symmetry_space_group_name_Hall '-R 3 2"'
_cell_length_a 7.3936
_cell_length_b 7.3936
_cell_length_c 30.8866
_cell_angle_alpha 90.00
_cell_angle_beta 90.00
_cell_angle_gamma 120.00
loop_
_atom_site_label
_atom_site_type_symbol
_atom_site_fract_x
_atom_site_fract_y
_atom_site_fract_z
_atom_site_occupancy
K1 K 0.0000 0.0000 0.1515 1
Cd1 Cd 0.0534 0.5267 0.0988 1
Cd2 Cd 0.0670 0.5335 0.6178 1
Ag1 Ag 0.0000 0.5000 0.0000 1
Pd1 Pd 0.0000 0.0000 0.5000 1
```